La2ScAs | the Alexandria database | PBE | optimized geometry; formation enthalpy at 0 K = -503 meV/atom; total magnetization = 0.00 μB/f.u.
1.0
-0.330 4.395 -1.430
-4.707 -0.258 0.294
0.200 1.473 4.483
As La Sc
1 2 1
Direct
0.500 0.000 0.500
0.000 0.000 0.000
0.000 0.500 0.500
0.500 0.500 0.000